No. 1
## RuW3Au (PBE)

Data for RuW3Au after structural relaxation.

Cell: 4.6775 4.6775 4.6775 Å, 90.00 90.00 90.00°
Closest atoms and distances in Å follow each position.
Space group Pm-3m (No. 221)
Inequivalent atoms, fractional coordinates:
Ru1 0.0000 0.0000 0.0000 [1 per cell]  6 W 2.34
W1 0.0000 0.0000 0.5000 [3 per cell]  2 Ru 2.34
Au1 0.5000 0.5000 0.5000 [1 per cell]  12 W 3.31

Summary:
Size of the total moment = 0.00 Bohr magnetons per cell



No. 2
## Ru2WAu (PBE)

Data for Ru2WAu after structural relaxation.

Cell: 2.8377 3.7707 5.7697 Å, 90.00 90.00 90.00°
Closest atoms and distances in Å follow each position.
Space group Pmmm (No. 47)
Inequivalent atoms, fractional coordinates:
Ru1 0.0000 0.0000 0.2344 [2 per cell]  3 Ru 2.70-2.84, 4 W 2.72, 4 Au 2.81
W1 0.5000 0.5000 0.0000 [1 per cell]  8 Ru 2.72, 2 W 2.84, 2 Au 2.88
Au1 0.5000 0.5000 0.5000 [1 per cell]  8 Ru 2.81, 2 Au 2.84, 2 W 2.88

Summary:
Size of the total moment = 0.00 Bohr magnetons per cell



Number 1: ΔH_f (0 K) 901 kJ/mol of formula units, N(E_F) 5.2 states/eV per cell, calculated volume 20.5 Å³/atom. Number 2: ΔH_f (0 K) 77 kJ/mol of formula units, N(E_F) 4.9 states/eV per cell, calculated volume 15.4 Å³/atom.